Record 1
## NaAg4Br6 (PBE)

Data for an optimized crystal structure of NaAg4Br6.

```
11
Lattice="-3.974 3.149 -2.142 3.712 0.703 -5.935 -5.060 -9.109 3.671" Properties=species:S:1:pos:R:3 pbc="T T T"
Na -5.197 -8.456 2.797
Ag -4.107 -0.193 -1.679
Ag -2.611 -3.919 -2.746
Ag 0.079 -1.344 -4.341
Ag -3.668 -5.922 -0.616
Br -4.907 -2.381 -3.310
Br -4.997 -4.102 0.756
Br -1.937 0.233 -5.350
Br 1.341 0.680 -3.312
Br -1.828 -1.782 -1.188
Br -3.972 -6.278 -3.408
```

Values from the calculation:
ΔE_f (raw): -0.502 eV per atom
V: 29.19 A^3/atom
SG: P1, No. 1
Fermi-level density of states: 0.298 states/eV/atom



Record 2
## MgPbF (PBE)

Data for an optimized crystal structure of MgPbF.

```
6
Lattice="3.261 0.000 0.000 -1.630 2.823 0.000 0.000 0.000 14.423" Properties=species:S:1:pos:R:3 pbc="T T T"
Mg 1.630 0.310 0.000
Mg 0.000 1.889 7.212
F 1.630 0.948 6.073
F 1.630 0.948 8.350
Pb 0.000 1.247 11.805
Pb 0.000 1.247 2.618
```

Values from the calculation:
ΔE_f (raw): -1.443 eV per atom
V: 22.13 A^3/atom
SG: Amm2, No. 38
Fermi-level density of states: 0.286 states/eV/atom



Record 3
## Pr3ErSc2Te6 (PBE)

Data for an optimized crystal structure of Pr3ErSc2Te6.

```
12
Lattice="-3.806 0.368 -1.991 0.932 -8.207 -3.297 -2.610 -1.306 9.417" Properties=species:S:1:pos:R:3 pbc="T T T"
Pr -1.437 -3.920 -2.644
Pr -4.782 -1.982 4.107
Pr -0.703 -7.164 0.021
Er -1.903 0.184 -0.996
Sc -4.284 -6.034 2.408
Sc -1.201 -3.112 1.720
Te -2.189 -8.142 2.682
Te -2.938 -4.847 0.054
Te -3.295 -1.004 1.446
Te 0.148 -2.011 -0.655
Te -5.633 -7.135 4.783
Te -2.546 -4.298 4.074
```

Values from the calculation:
ΔE_f (raw): -1.287 eV per atom
V: 29.63 A^3/atom
SG: C2/m, No. 12
Fermi-level density of states: 0.527 states/eV/atom



Record 4
## NaAcLuIn (PBE)

Data for an optimized crystal structure of NaAcLuIn.

```
4
Lattice="5.610 0.000 0.000 2.805 4.859 0.000 2.805 1.620 4.581" Properties=species:S:1:pos:R:3 pbc="T T T"
Na 2.805 1.620 1.145
Ac 0.000 0.000 0.000
Lu 5.610 3.239 2.290
In 8.415 4.859 3.436
```

Values from the calculation:
uncorrected energy: -3.247 eV/atom
V: 31.22 A^3/atom
SG: F-43m, No. 216
Fermi-level density of states: 0.857 states/eV/atom



Record 5
## Li2PrAlH8 (PBE)

Data for an optimized crystal structure of Li2PrAlH8.

```
12
Lattice="4.480 0.153 0.026 0.106 4.324 1.004 0.136 1.398 6.027" Properties=species:S:1:pos:R:3 pbc="T T T"
Li 2.301 2.510 4.871
Li 2.421 3.364 2.186
Pr 0.068 0.699 3.013
Al 0.000 0.000 0.000
H 4.435 3.283 2.384
H 3.436 5.234 6.149
H 3.464 1.146 0.960
H 0.286 2.591 4.673
H 1.286 0.640 0.908
H 1.258 4.728 6.097
H 2.454 4.070 3.979
H 2.267 1.804 3.078
```

Values from the calculation:
uncorrected energy: -3.558 eV/atom
V: 9.20 A^3/atom
SG: P-1, No. 2



Record 6
## BeTeH (PBE)

Data for an optimized crystal structure of BeTeH.

```
6
Lattice="-3.023 -0.920 4.764 -2.051 -2.781 -1.839 5.149 -4.164 0.553" Properties=species:S:1:pos:R:3 pbc="T T T"
Be -2.908 -2.360 2.647
Be -0.796 -1.919 3.791
Te 3.204 -4.360 3.020
Te 1.009 -3.064 -0.658
H 0.622 -2.507 3.098
H 0.356 -1.972 2.585
```

Values from the calculation:
uncorrected energy: -3.469 eV/atom
V: 24.06 A^3/atom
SG: Pm, No. 6
Fermi-level density of states: 0.000 states/eV/atom



Record 7
## SbH2Pd5 (PBE)

Data for an optimized crystal structure of SbH2Pd5.

```
8
Lattice="3.993 0.000 0.000 0.000 3.993 0.000 -1.997 -1.997 6.780" Properties=species:S:1:pos:R:3 pbc="T T T"
Sb 1.997 1.997 0.000
H 0.000 0.000 2.208
H 1.997 1.997 4.572
Pd 1.997 0.000 2.025
Pd 0.000 1.997 2.025
Pd 1.997 0.000 4.755
Pd 0.000 1.997 4.755
Pd 0.000 0.000 0.000
```

Values from the calculation:
uncorrected energy: -4.730 eV/atom
V: 13.51 A^3/atom
SG: I4/mmm, No. 139
Fermi-level density of states: 0.405 states/eV/atom



Record 8
## Ac12Zn6Ni (PBE)

Data for an optimized crystal structure of Ac12Zn6Ni.

```
19
Lattice="9.067 -0.013 -0.015 -1.387 8.960 -0.015 -1.387 -1.616 8.813" Properties=species:S:1:pos:R:3 pbc="T T T"
Ac 5.953 4.471 3.808
Ac 2.011 6.331 5.080
Ac 3.517 2.574 7.137
Ac 0.339 2.860 4.975
Ac 4.281 1.000 3.703
Ac 2.776 4.757 1.646
Ac -1.190 8.287 2.778
Ac -2.079 4.612 8.208
Ac 4.874 8.318 0.132
Ac 7.483 -0.956 6.005
Ac 8.372 2.719 0.575
Ac 1.418 -0.986 8.650
Zn 4.570 7.199 3.133
Zn 5.210 2.542 1.140
Zn -0.130 5.251 2.704
Zn 1.722 0.132 5.650
Zn 1.082 4.790 7.643
Zn 6.423 2.080 6.078
Ni 0.000 0.000 0.000
```

Values from the calculation:
uncorrected energy: -3.298 eV/atom
V: 37.65 A^3/atom
SG: R-3, No. 148
Fermi-level density of states: 1.383 states/eV/atom



Record 9
## Cs2AsSe (PBE)

Data for an optimized crystal structure of Cs2AsSe.

```
16
Lattice="-4.171 -3.907 -8.125 7.496 -8.288 0.138 -6.967 0.065 3.545" Properties=species:S:1:pos:R:3 pbc="T T T"
Cs -3.522 -3.605 -5.805
Cs -4.031 -4.534 0.976
Cs -0.120 -8.525 1.363
Cs 0.389 -7.596 -5.419
Cs -3.537 -8.269 -4.286
Cs 2.977 -8.628 -1.384
Cs -0.105 -3.861 -0.157
Cs -6.619 -3.502 -3.059
As -1.465 -5.244 -3.098
As -4.045 -0.981 2.249
As -2.177 -6.886 -1.345
As 0.403 -11.149 -6.691
Se -2.923 -3.412 -2.324
Se -6.135 -6.137 -5.437
Se -0.719 -8.718 -2.119
Se 2.493 -5.993 0.994
```

Values from the calculation:
ΔE_f (raw): -0.668 eV per atom
V: 43.46 A^3/atom
SG: P2_1/c, No. 14



Record 10
## Fe2OsAu (PBE)

Data for an optimized crystal structure of Fe2OsAu.

```
4
Lattice="8.870 -0.027 -0.016 8.452 2.690 -0.016 8.452 1.300 2.355" Properties=species:S:1:pos:R:3 pbc="T T T"
Au 19.239 2.958 1.735
Fe 25.587 3.934 2.307
Fe 6.496 0.999 0.586
Os 13.115 2.017 1.183
```

Values from the calculation:
uncorrected energy: -7.575 eV/atom
V: 14.28 A^3/atom
SG: R3m, No. 160
Fermi-level density of states: 0.813 states/eV/atom



Record 11
## Pm4NdSm (PBE)

Data for an optimized crystal structure of Pm4NdSm.

```
6
Lattice="3.657 0.000 0.000 0.000 4.992 -1.269 0.000 -2.278 11.924" Properties=species:S:1:pos:R:3 pbc="T T T"
Pm 1.828 -0.235 9.503
Pm 1.828 2.949 1.152
Pm 0.000 0.905 3.561
Pm 0.000 1.809 7.094
Nd 0.000 0.000 0.000
Sm 1.828 -1.139 5.962
```

Values from the calculation:
uncorrected energy: -4.734 eV/atom
V: 34.52 A^3/atom
SG: Pmmm, No. 47
Fermi-level density of states: 1.516 states/eV/atom



Record 12
## BaCoAs2 (PBE)

Data for an optimized crystal structure of BaCoAs2.

```
4
Lattice="-0.751 3.082 -4.604 0.335 -3.230 -4.552 -2.944 -0.468 4.730" Properties=species:S:1:pos:R:3 pbc="T T T"
As 0.000 0.000 0.000
As -1.409 -1.886 -2.200
Ba -0.208 -0.074 -4.578
Co -1.952 1.270 -2.226
```

Values from the calculation:
uncorrected energy: -4.251 eV/atom
V: 23.50 A^3/atom
SG: I-4m2, No. 119
Fermi-level density of states: 1.569 states/eV/atom



Record 13
## KCr2P (PBE)

Data for an optimized crystal structure of KCr2P.

```
4
Lattice="-0.822 1.281 -3.100 -2.861 -2.266 -0.178 -6.323 3.105 2.961" Properties=species:S:1:pos:R:3 pbc="T T T"
Cr -5.421 2.645 2.531
Cr -5.494 0.879 1.821
K -2.707 0.850 -0.854
P -7.300 1.270 0.538
```

Values from the calculation:
uncorrected energy: -5.957 eV/atom
V: 22.33 A^3/atom
SG: P2/m, No. 10
Fermi-level density of states: 1.029 states/eV/atom



Record 14
## ErMg12Cd6 (PBE)

Data for an optimized crystal structure of ErMg12Cd6.

```
19
Lattice="-1.176 -6.378 4.808 -2.222 -2.498 -7.349 8.019 0.835 -0.423" Properties=species:S:1:pos:R:3 pbc="T T T"
Er 0.000 0.000 0.000
Mg 2.715 -5.522 3.223
Mg 2.557 -6.542 -0.632
Mg 4.842 -4.750 -1.932
Mg 2.324 -2.462 0.690
Mg -0.220 -3.290 -1.031
Mg 2.064 -1.498 -2.331
Mg 5.869 -1.229 -3.506
Mg -1.652 -5.310 -4.162
Mg 1.906 -2.519 -6.186
Mg -1.248 -6.811 0.543
Mg 6.274 -2.730 1.199
Mg 2.297 -5.578 -3.653
Cd 0.815 -4.993 1.199
Cd 4.718 -1.931 -1.022
Cd 0.371 -3.346 -3.962
Cd -0.097 -6.109 -1.941
Cd 3.806 -3.047 -4.162
Cd 4.250 -4.694 0.999
```

Values from the calculation:
uncorrected energy: -1.489 eV/atom
V: 24.25 A^3/atom
SG: R-3m, No. 166
Fermi-level density of states: 0.351 states/eV/atom



Record 15
## Ta2AsAu (PBE)

Data for an optimized crystal structure of Ta2AsAu.

```
4
Lattice="-2.994 -2.106 3.615 -1.601 -4.448 2.029 2.954 -0.684 3.606" Properties=species:S:1:pos:R:3 pbc="T T T"
As -0.607 -3.660 4.874
Au -0.545 -1.720 2.062
Ta -4.341 -6.506 5.797
Ta -1.565 -5.525 6.786
```

Values from the calculation:
uncorrected energy: -7.932 eV/atom
V: 17.64 A^3/atom
SG: Cm, No. 8
Fermi-level density of states: 0.809 states/eV/atom



Record 16
## RbCaPtSe2 (PBE)

Data for an optimized crystal structure of RbCaPtSe2.

```
5
Lattice="-3.473 4.376 -0.562 -4.144 -3.383 -0.733 -0.946 -0.040 5.535" Properties=species:S:1:pos:R:3 pbc="T T T"
Ca 0.000 0.000 0.000
Se -0.473 -0.020 2.767
Se -1.737 2.188 -0.281
Rb -4.282 0.477 2.120
Pt -2.072 -1.691 -0.366
```

Values from the calculation:
ΔE_f (raw): -0.157 eV per atom
V: 34.05 A^3/atom
SG: P4/mmm, No. 123
Fermi-level density of states: 1.152 states/eV/atom



Record 17
## InRh4S8 (PBE)

Data for an optimized crystal structure of InRh4S8.

```
13
Lattice="6.238 0.000 3.601 2.079 5.881 3.601 0.000 0.000 7.203" Properties=species:S:1:pos:R:3 pbc="T T T"
In 6.238 4.411 10.804
Rh 6.306 2.181 7.203
Rh 4.159 5.219 7.203
Rh 3.085 2.181 9.063
Rh 3.085 2.181 5.343
S 3.901 0.826 3.601
S 2.079 3.403 3.601
S 1.168 0.826 5.179
S 1.168 0.826 2.024
S 2.360 3.576 7.203
S 4.159 1.033 7.203
S 5.058 3.576 5.646
S 5.058 3.576 8.760
```

Values from the calculation:
ΔE_f (raw): -0.448 eV per atom
V: 20.33 A^3/atom
SG: F-43m, No. 216
Fermi-level density of states: 0.801 states/eV/atom



Record 18
## Nd4Tl2Cd (PBE)

Data for an optimized crystal structure of Nd4Tl2Cd.

```
7
Lattice="5.191 0.000 1.622 2.342 4.633 1.622 -0.039 -0.024 9.243" Properties=species:S:1:pos:R:3 pbc="T T T"
Tl 5.592 3.439 9.457
Tl 1.902 1.170 3.030
Nd 6.544 4.024 6.412
Nd 0.951 0.585 6.075
Nd 4.651 2.860 3.350
Nd 2.843 1.749 9.136
Cd 0.000 0.000 0.000
```

Values from the calculation:
uncorrected energy: -3.771 eV/atom
V: 31.81 A^3/atom
SG: R-3m, No. 166
Fermi-level density of states: 1.167 states/eV/atom



Record 19
## SrH16O10 (PBE)

Data for an optimized crystal structure of SrH16O10.

```
27
Lattice="5.923 0.319 0.075 0.413 6.364 0.249 0.137 0.262 6.667" Properties=species:S:1:pos:R:3 pbc="T T T"
Sr 0.208 0.344 0.546
H 5.007 4.003 1.133
H 4.849 5.149 6.516
H 4.303 2.133 4.689
H 4.517 0.528 4.891
H 4.202 4.429 4.453
H 3.363 5.562 5.177
H 4.073 2.666 2.465
H 3.548 2.383 0.943
H 2.059 2.688 5.416
H 3.035 1.663 6.020
H 3.351 5.114 1.538
H 2.308 4.497 2.593
H 2.039 0.599 2.603
H 1.677 2.073 3.216
H 1.673 4.852 4.773
H 1.493 6.410 4.483
O 3.748 3.181 3.763
O 2.260 3.362 3.847
O 4.986 4.951 0.832
O 4.628 1.401 5.358
O 4.310 5.299 5.023
O 4.366 2.338 1.486
O 2.180 2.126 6.251
O 2.429 5.220 1.894
O 1.285 1.176 2.856
O 1.613 5.745 5.219
```

Values from the calculation:
uncorrected energy: -5.007 eV/atom
V: 9.26 A^3/atom
SG: P1, No. 1
Fermi-level density of states: 0.000 states/eV/atom



Record 20
## CaAcSe2 (PBE)

Data for an optimized crystal structure of CaAcSe2.

```
4
Lattice="3.768 0.000 0.000 0.000 5.321 0.000 0.000 0.000 5.321" Properties=species:S:1:pos:R:3 pbc="T T T"
Ac 1.884 0.000 0.000
Ca 1.884 2.660 2.660
Se 0.000 0.000 2.660
Se 0.000 2.660 0.000
```

Values from the calculation:
ΔE_f (raw): -1.653 eV per atom
V: 26.67 A^3/atom
SG: P4/mmm, No. 123
Fermi-level density of states: 0.522 states/eV/atom



Record 21
## CsNaHg (PBE)

Data for an optimized crystal structure of CsNaHg.

```
3
Lattice="-2.130 -1.340 -3.609 3.570 -2.233 -1.277 -2.962 -3.726 5.814" Properties=species:S:1:pos:R:3 pbc="T T T"
Cs -0.059 -0.144 0.088
Na -1.291 -3.174 1.940
Hg -0.173 -3.982 -1.101
```

Values from the calculation:
uncorrected energy: -0.966 eV/atom
V: 44.14 A^3/atom
SG: I4mm, No. 107
Fermi-level density of states: 0.417 states/eV/atom



Record 22
## Sm4DyErSe8 (PBE)

Data for an optimized crystal structure of Sm4DyErSe8.

```
14
Lattice="-2.046 -7.217 -4.064 -1.245 -7.184 4.430 -7.845 -3.242 0.752" Properties=species:S:1:pos:R:3 pbc="T T T"
Sm -3.051 -9.403 0.324
Sm -4.550 -5.201 2.573
Sm -4.947 -5.218 -1.637
Sm -3.933 -1.640 0.377
Dy -7.825 -3.246 0.751
Er -8.087 -8.239 0.795
Se -7.342 -9.679 2.976
Se -7.762 -9.696 -1.477
Se -6.689 -5.913 0.654
Se -2.861 -4.393 0.287
Se -3.817 -7.924 -1.916
Se -3.385 -7.907 2.656
Se -4.487 -11.791 0.469
Se -8.205 -13.266 0.825
```

Values from the calculation:
ΔE_f (raw): -1.721 eV per atom
V: 31.31 A^3/atom
SG: R3m, No. 160
Fermi-level density of states: 0.611 states/eV/atom



Record 23
## CeAl2Ag3 (PBE)

Data for an optimized crystal structure of CeAl2Ag3.

```
6
Lattice="-1.487 -5.240 1.117 5.030 1.169 -2.061 1.622 0.436 4.205" Properties=species:S:1:pos:R:3 pbc="T T T"
Ce 1.772 -2.035 -0.472
Al 3.326 0.803 1.072
Al 0.067 -2.402 2.661
Ag 3.877 0.035 -1.499
Ag -0.334 -4.106 0.555
Ag 0.811 0.218 2.102
```

Values from the calculation:
uncorrected energy: -3.915 eV/atom
V: 20.00 A^3/atom
SG: Cmmm, No. 65
Fermi-level density of states: 1.307 states/eV/atom